No. 1
# La4SeBr2N | Alexandria via LeMat-Bulk | PBE | relaxed
# Density of states at the Fermi level = 0.55 states/eV/atom
# Energy relative to the elements, uncorrected = -1.519 eV per atom
data_La4SeBr2N
_chemical_formula_sum 'La4 Se1 Br2 N1'
_space_group_name_H-M_alt 'P 1'
_space_group_IT_number 1
_cell_length_a 7.314
_cell_length_b 4.017
_cell_length_c 7.686
_cell_angle_alpha 90.00
_cell_angle_beta 107.30
_cell_angle_gamma 90.00
loop_
_space_group_symop_operation_xyz
'x,y,z'
loop_
_atom_site_label
_atom_site_fract_x
_atom_site_fract_y
_atom_site_fract_z
La1 0.198 0.000 0.192
La2 0.217 0.500 0.800
La3 0.783 0.500 0.200
La4 0.802 0.000 0.808
Se1 0.500 0.000 0.000
Br1 0.000 0.000 0.500
Br2 0.500 0.500 0.500
N1 0.000 0.500 0.000

---

No. 2
# Co3Pt2Rh3 | Alexandria via LeMat-Bulk | PBE | relaxed
# Density of states at the Fermi level = 1.42 states/eV/atom
# Energy = -6.944 eV/atom
data_Co3Pt2Rh3
_chemical_formula_sum 'Co3 Pt2 Rh3'
_space_group_name_H-M_alt 'P 1'
_space_group_IT_number 1
_cell_length_a 3.753
_cell_length_b 3.809
_cell_length_c 7.583
_cell_angle_alpha 90.00
_cell_angle_beta 90.00
_cell_angle_gamma 90.00
loop_
_space_group_symop_operation_xyz
'x,y,z'
loop_
_atom_site_label
_atom_site_fract_x
_atom_site_fract_y
_atom_site_fract_z
Co1 0.000 0.000 0.000
Co2 0.000 0.500 0.245
Co3 0.000 0.500 0.755
Pt1 0.500 0.000 0.245
Pt2 0.500 0.000 0.755
Rh1 0.000 0.000 0.500
Rh2 0.500 0.500 0.000
Rh3 0.500 0.500 0.500

---

No. 3
# PmPa3C4 | Alexandria via LeMat-Bulk | PBE | relaxed
# Density of states at the Fermi level = 0.76 states/eV/atom
# Energy = -9.124 eV/atom
data_PmPa3C4
_chemical_formula_sum 'Pm1 Pa3 C4'
_space_group_name_H-M_alt 'P 1'
_space_group_IT_number 1
_cell_length_a 6.294
_cell_length_b 6.294
_cell_length_c 3.628
_cell_angle_alpha 90.00
_cell_angle_beta 90.00
_cell_angle_gamma 109.64
loop_
_space_group_symop_operation_xyz
'x,y,z'
loop_
_atom_site_label
_atom_site_fract_x
_atom_site_fract_y
_atom_site_fract_z
Pm1 0.000 0.000 0.000
Pa1 0.000 0.500 0.500
Pa2 0.500 0.000 0.500
Pa3 0.500 0.500 0.000
C1 0.259 0.741 0.000
C2 0.271 0.271 0.500
C3 0.729 0.729 0.500
C4 0.741 0.259 0.000

---

No. 4
# CoRh2Cl | Alexandria via LeMat-Bulk | PBE | relaxed
# Density of states at the Fermi level = 1.51 states/eV/atom
# Energy above the lowest structure with this stoichiometry = 291 meV per atom
# Energy relative to the elements, uncorrected = 0.539 eV per atom
data_CoRh2Cl
_chemical_formula_sum 'Co1 Rh2 Cl1'
_space_group_name_H-M_alt 'P 1'
_space_group_IT_number 1
_cell_length_a 5.169
_cell_length_b 5.169
_cell_length_c 5.169
_cell_angle_alpha 148.02
_cell_angle_beta 128.99
_cell_angle_gamma 61.49
loop_
_space_group_symop_operation_xyz
'x,y,z'
loop_
_atom_site_label
_atom_site_fract_x
_atom_site_fract_y
_atom_site_fract_z
Co1 0.000 0.000 0.000
Rh1 0.259 0.759 0.500
Rh2 0.535 0.535 0.000
Cl1 0.778 0.278 0.500